No. 1
A geometry-optimized KSrCd2Cu structure. Source: the Alexandria database, functional PBE.

## Properties
crystal system	tetragonal
spin magnetization	0.00	μB per atom
SG	No. 123
ΔE_f	2.8	kJ per mole of atoms
raw total energy	-1.7123	eV per atom

The structure in POSCAR format:
```
KSrCd2Cu
1.0
5.326 0.000 0.000
0.000 5.326 0.000
0.000 0.000 5.626
K Sr Cd Cu
1 1 2 1
direct
0.000 0.000 0.000 K
0.500 0.500 0.000 Sr
0.000 0.500 0.500 Cd
0.500 0.000 0.500 Cd
0.500 0.500 0.500 Cu
```

=====

No. 2
A geometry-optimized LaGa2I structure. Source: the Alexandria database, functional PBE.

## Properties
crystal system	cubic
spin magnetization	0.00	μB per atom
SG	No. 225
energy relative to the elements, uncorrected	-0.07	eV per atom
raw total energy	-3.2048	eV per atom

The structure in POSCAR format:
```
LaGa2I
1.0
0.000 3.813 3.813
3.813 0.000 3.813
3.813 3.813 0.000
La Ga I
1 2 1
direct
0.000 0.000 0.000 La
0.250 0.250 0.250 Ga
0.750 0.750 0.750 Ga
0.500 0.500 0.500 I
```

=====

No. 3
A geometry-optimized YRe2Te structure. Source: the Alexandria database, functional PBE.

## Properties
crystal system	tetragonal
spin magnetization	0.00	μB per atom
SG	No. 123
energy relative to the elements, uncorrected	0.56	eV per atom
raw total energy	-8.0671	eV per atom

The structure in POSCAR format:
```
YRe2Te
1.0
4.612 0.000 0.000
0.000 4.612 0.000
0.000 0.000 3.515
Y Re Te
1 2 1
direct
0.000 0.000 0.000 Y
0.000 0.500 0.500 Re
0.500 0.000 0.500 Re
0.500 0.500 0.000 Te
```

=====

No. 4
A geometry-optimized HoTm2Ga structure. Source: the Alexandria database, functional PBE.

## Properties
crystal system	orthorhombic
spin magnetization	0.12	μB per atom
SG	No. 63
ΔE_f	-27.5	kJ per mole of atoms
raw total energy	-4.4216	eV per atom
polymorph energy (0 for the lowest one)	0.01	eV/f.u.

The structure in POSCAR format:
```
HoTm2Ga
1.0
1.810 -6.293 0.000
1.810 6.293 0.000
0.000 0.000 9.447
Ho Tm Ga
2 4 2
direct
0.053 0.947 0.750 Ho
0.947 0.053 0.250 Ho
0.366 0.634 0.547 Tm
0.366 0.634 0.953 Tm
0.634 0.366 0.047 Tm
0.634 0.366 0.453 Tm
0.253 0.747 0.250 Ga
0.747 0.253 0.750 Ga
```

=====

Copy entry 2 word for word.
A geometry-optimized LaGa2I structure. Source: the Alexandria database, functional PBE.

## Properties
crystal system	cubic
spin magnetization	0.00	μB per atom
SG	No. 225
energy relative to the elements, uncorrected	-0.07	eV per atom
raw total energy	-3.2048	eV per atom

The structure in POSCAR format:
```
LaGa2I
1.0
0.000 3.813 3.813
3.813 0.000 3.813
3.813 3.813 0.000
La Ga I
1 2 1
direct
0.000 0.000 0.000 La
0.250 0.250 0.250 Ga
0.750 0.750 0.750 Ga
0.500 0.500 0.500 I
```